## Tb2Th2Sc3 (GGA-PBE)

Data for a relaxed structure of Tb2Th2Sc3.

## Properties
The magnetic moment comes out at 0.00 Bohr magnetons per cell. For the density of states at the Fermi level, the calculation gives 10.52 states/eV per cell. Its energy is -6.10 eV/atom.

Lattice parameters (Å, degrees): 3.415 8.204 9.116 58.85 67.95 77.99
Fractional coordinates of all 7 atoms:
Tb 0.416 0.590 0.290
Tb 0.584 0.410 0.710
Th 0.806 0.722 0.832
Th 0.194 0.278 0.168
Sc 0.000 0.000 0.000
Sc 0.355 0.133 0.578
Sc 0.645 0.867 0.422